{"formula": "KPuTl2Cl8", "functional": "PBE", "state": "optimized geometry", "lattice_angstrom": [[6.8645, 0.0000, 0.0000], [0.0895, 7.0632, 0.0000], [0.0083, 0.0018, 9.1458]], "species": ["K", "Pu", "Tl", "Tl", "Cl", "Cl", "Cl", "Cl", "Cl", "Cl", "Cl", "Cl"], "fractional_positions": [[0.0000, 0.0000, 0.0000], [0.0000, 0.0000, 0.5000], [0.4996, 0.5000, 0.2400], [0.5004, 0.5000, 0.7600], [0.2037, 0.6969, 0.5003], [0.2204, 0.1350, 0.7007], [0.2208, 0.1343, 0.2989], [0.2805, 0.6564, 0.0000], [0.7195, 0.3436, 0.0000], [0.7792, 0.8657, 0.7011], [0.7796, 0.8650, 0.2993], [0.7963, 0.3031, 0.4997]], "e_form_raw_ev_per_atom": -1.3749, "energy_ev_per_fu": -51.43, "space_group": "P-1 (2)", "mass_density_g_cm3": 3.65}


{"formula": "CaInMoBr2", "functional": "PBE", "state": "optimized geometry", "lattice_angstrom": [[5.3819, 0.0000, 0.0000], [0.0000, 5.3819, 0.0000], [0.0000, 0.0000, 7.0626]], "species": ["Ca", "In", "Mo", "Br", "Br"], "fractional_positions": [[0.0000, 0.0000, 0.0000], [0.0000, 0.0000, 0.5000], [0.5000, 0.5000, 0.5000], [0.0000, 0.5000, 0.0000], [0.5000, 0.0000, 0.0000]], "e_form_raw_ev_per_atom": 0.2977, "energy_ev_per_fu": -17.43, "space_group": "P4/mmm (123)", "mass_density_g_cm3": 3.33}


{"formula": "InCu2Ru", "functional": "PBE", "state": "optimized geometry", "lattice_angstrom": [[-1.8802, 1.8802, 9.2891], [1.8802, -1.8802, 9.2891], [1.8802, 1.8802, -9.2891]], "species": ["In", "In", "Cu", "Cu", "Cu", "Cu", "Ru", "Ru"], "fractional_positions": [[0.0000, 0.0000, 0.0000], [0.7500, 0.2500, 0.5000], [0.1484, 0.6250, 0.0234], [0.3750, 0.3984, 0.5234], [0.6016, 0.1250, 0.9766], [0.8750, 0.8516, 0.4766], [0.2500, 0.7500, 0.5000], [0.5000, 0.5000, 0.0000]], "energy_ev_per_fu": -18.38, "space_group": "I-42d (122)", "mass_density_g_cm3": 8.67, "ef_ev_per_fu": 1.8}


{"formula": "SrNpCu2O6", "functional": "PBE", "state": "optimized geometry", "lattice_angstrom": [[5.6781, -4.8842, 0.0000], [5.6781, 4.8842, 0.0000], [-3.0544, 0.0000, 5.6992]], "species": ["Sr", "Sr", "Np", "Np", "Cu", "Cu", "Cu", "Cu", "O", "O", "O", "O", "O", "O", "O", "O", "O", "O", "O", "O"], "fractional_positions": [[0.1028, 0.8972, 0.7500], [0.8972, 0.1028, 0.2500], [0.2754, 0.7246, 0.2500], [0.7246, 0.2754, 0.7500], [0.2440, 0.3488, 0.8572], [0.3488, 0.2440, 0.3572], [0.6512, 0.7560, 0.6428], [0.7560, 0.6512, 0.1428], [0.0024, 0.7795, 0.2954], [0.1897, 0.6348, 0.9074], [0.2205, 0.9976, 0.2046], [0.2821, 0.4297, 0.2035], [0.3652, 0.8103, 0.5926], [0.4297, 0.2821, 0.7035], [0.5703, 0.7179, 0.2965], [0.6348, 0.1897, 0.4074], [0.7179, 0.5703, 0.7965], [0.7795, 0.0024, 0.7954], [0.8103, 0.3652, 0.0926], [0.9976, 0.2205, 0.7046]], "e_form_raw_ev_per_atom": -1.8824, "energy_ev_per_fu": -71.39, "space_group": "C2/c (15)", "mass_density_g_cm3": 5.75}


{"formula": "NdLu2Zr", "functional": "PBE", "state": "optimized geometry", "lattice_angstrom": [[1.7145, 0.9899, 11.2545], [-1.7145, 0.9899, 11.2545], [0.0000, -1.9797, 11.2545]], "species": ["Nd", "Lu", "Lu", "Zr"], "fractional_positions": [[0.0000, 0.0000, 0.0000], [0.2438, 0.2438, 0.2438], [0.7562, 0.7562, 0.7562], [0.5000, 0.5000, 0.5000]], "energy_ev_per_fu": -22.07, "space_group": "R-3m (166)", "mass_density_g_cm3": 8.48, "ef_ev_per_fu": 0.3}


{"formula": "BaTl2Ru", "functional": "PBE", "state": "optimized geometry", "lattice_angstrom": [[3.1412, -5.7562, 0.0000], [3.1412, 5.7562, 0.0000], [-1.5292, 0.0000, 3.1196]], "species": ["Ba", "Tl", "Tl", "Ru"], "fractional_positions": [[0.0000, 0.0000, 0.0000], [0.0000, 0.5000, 0.5000], [0.5000, 0.0000, 0.5000], [0.5000, 0.5000, 0.0000]], "energy_ev_per_fu": -13.58, "space_group": "C2/m (12)", "mass_density_g_cm3": 9.53, "ef_ev_per_fu": 2.3}


{"formula": "Mg2Sc5InRh2", "functional": "PBE", "state": "optimized geometry", "lattice_angstrom": [[11.1819, 0.0000, 0.0000], [0.0000, 11.1819, 0.0000], [0.0000, 0.0000, 3.5218]], "species": ["Mg", "Mg", "Mg", "Mg", "Sc", "Sc", "Sc", "Sc", "Sc", "Sc", "Sc", "Sc", "Sc", "Sc", "In", "In", "Rh", "Rh", "Rh", "Rh"], "fractional_positions": [[0.1749, 0.3251, 0.0000], [0.3251, 0.8251, 0.0000], [0.6749, 0.1749, 0.0000], [0.8251, 0.6749, 0.0000], [0.0000, 0.5000, 0.5000], [0.0726, 0.7915, 0.5000], [0.2085, 0.0726, 0.5000], [0.2915, 0.5726, 0.5000], [0.4274, 0.2915, 0.5000], [0.5000, 0.0000, 0.5000], [0.5726, 0.7085, 0.5000], [0.7085, 0.4274, 0.5000], [0.7915, 0.9274, 0.5000], [0.9274, 0.2085, 0.5000], [0.0000, 0.0000, 0.0000], [0.5000, 0.5000, 0.0000], [0.1255, 0.6255, 0.0000], [0.3745, 0.1255, 0.0000], [0.6255, 0.8745, 0.0000], [0.8745, 0.3745, 0.0000]], "energy_ev_per_fu": -57.06, "space_group": "P4/mbm (127)", "mass_density_g_cm3": 4.48, "ef_ev_per_fu": -4.8}


{"formula": "Be4FeCo", "functional": "PBE", "state": "optimized geometry", "lattice_angstrom": [[0.0000, 2.9452, 2.9452], [2.9452, 0.0000, 2.9452], [2.9452, 2.9452, 0.0000]], "species": ["Be", "Be", "Be", "Be", "Fe", "Co"], "fractional_positions": [[0.1247, 0.1247, 0.1247], [0.1247, 0.1247, 0.6259], [0.1247, 0.6259, 0.1247], [0.6259, 0.1247, 0.1247], [0.7500, 0.7500, 0.7500], [0.5000, 0.5000, 0.5000]], "energy_ev_per_fu": -32.04, "space_group": "F-43m (216)", "mass_density_g_cm3": 4.90, "ef_ev_per_fu": -1.6}